Here is Si2OsIN after structural relaxation from Alexandria via LeMat-Bulk. Energies are from PBE-GGA.

```
data_Si2OsIN
_chemical_formula_sum 'Si2 Os1 I1 N1'
_cell_length_a 4.956
_cell_length_b 4.956
_cell_length_c 3.774
_cell_angle_alpha 90.00
_cell_angle_beta 90.00
_cell_angle_gamma 90.00
_space_group_name_H-M_alt 'P 4/m m m'
_space_group_IT_number 123
_space_group_name_Hall '-P 4 2'
loop_
_atom_site_label
_atom_site_type_symbol
_atom_site_fract_x
_atom_site_fract_y
_atom_site_fract_z
Si1 Si 0.000 0.500 0.000
Os1 Os 0.000 0.000 0.000
I1 I 0.500 0.500 0.500
N1 N 0.000 0.000 0.500
```

Values from the calculation:
ΔE_f (raw) = 0.447 eV per atom



Here is Cs3U3PbSe8 after structural relaxation from Alexandria via LeMat-Bulk. Energies are from PBE-GGA.

```
data_Cs3U3PbSe8
_chemical_formula_sum 'Cs9 U9 Pb3 Se24'
_cell_length_a 8.6115
_cell_length_b 8.6115
_cell_length_c 25.1852
_cell_angle_alpha 90.00
_cell_angle_beta 90.00
_cell_angle_gamma 120.00
_space_group_name_H-M_alt 'R -3 m'
_space_group_IT_number 166
_space_group_name_Hall '-R 3 2"'
loop_
_atom_site_label
_atom_site_type_symbol
_atom_site_fract_x
_atom_site_fract_y
_atom_site_fract_z
Cs1 Cs 0.0000 0.5000 0.0000
U1 U 0.0000 0.5000 0.5000
Pb1 Pb 0.0000 0.0000 0.5000
Se1 Se 0.0000 0.0000 0.2281
Se2 Se 0.0229 0.5115 0.7713
```

Values from the calculation:
ΔE_f (raw) = -1.166 eV per atom



Here is MnInSiTe2 after structural relaxation from Alexandria via LeMat-Bulk. Energies are from PBE-GGA.

```
data_MnInSiTe2
_chemical_formula_sum 'Mn1 In1 Si1 Te2'
_cell_length_a 5.437
_cell_length_b 5.437
_cell_length_c 5.011
_cell_angle_alpha 90.00
_cell_angle_beta 90.00
_cell_angle_gamma 90.00
_space_group_name_H-M_alt 'P 4/m m m'
_space_group_IT_number 123
_space_group_name_Hall '-P 4 2'
loop_
_atom_site_label
_atom_site_type_symbol
_atom_site_fract_x
_atom_site_fract_y
_atom_site_fract_z
Mn1 Mn 0.000 0.000 0.000
In1 In 0.500 0.500 0.000
Si1 Si 0.500 0.500 0.500
Te1 Te 0.000 0.500 0.500
```

Values from the calculation:
ΔE_f (raw) = 0.619 eV per atom



Here is NaErLuIn after structural relaxation from Alexandria via LeMat-Bulk. Energies are from PBE-GGA.

```
data_NaErLuIn
_chemical_formula_sum 'Na4 Er4 Lu4 In4'
_cell_length_a 7.529
_cell_length_b 7.529
_cell_length_c 7.529
_cell_angle_alpha 90.00
_cell_angle_beta 90.00
_cell_angle_gamma 90.00
_space_group_name_H-M_alt 'F -4 3 m'
_space_group_IT_number 216
_space_group_name_Hall 'F -4 2 3'
loop_
_atom_site_label
_atom_site_type_symbol
_atom_site_fract_x
_atom_site_fract_y
_atom_site_fract_z
Na1 Na 0.000 0.000 0.000
Er1 Er 0.250 0.250 0.750
Lu1 Lu 0.250 0.250 0.250
In1 In 0.000 0.000 0.500
```

Values from the calculation:
formation energy = -1.84 kcal/mol of atoms



Here is NaNdP4O12 after structural relaxation from Alexandria via LeMat-Bulk. Energies are from PBE-GGA.

```
data_NaNdP4O12
_chemical_formula_sum 'Na4 Nd4 P16 O48'
_cell_length_a 7.315
_cell_length_b 13.370
_cell_length_c 12.397
_cell_angle_alpha 90.00
_cell_angle_beta 125.77
_cell_angle_gamma 90.00
_space_group_name_H-M_alt 'P 1 21/c 1'
_space_group_IT_number 14
loop_
_space_group_symop_operation_xyz
'x,y,z'
'-x,-y,-z'
'-x,y+1/2,-z+1/2'
'x,-y+1/2,z+1/2'
loop_
_atom_site_label
_atom_site_type_symbol
_atom_site_fract_x
_atom_site_fract_y
_atom_site_fract_z
Na1 Na 0.063 0.223 0.064
Nd1 Nd 0.465 0.222 0.978
P1 P 0.007 0.601 0.258
P2 P 0.112 0.614 0.733
P3 P 0.340 0.626 0.196
P4 P 0.433 0.091 0.702
O1 O 0.067 0.513 0.783
O2 O 0.093 0.148 0.899
O3 O 0.095 0.622 0.168
O4 O 0.190 0.612 0.405
O5 O 0.202 0.163 0.296
O6 O 0.213 0.685 0.848
O7 O 0.296 0.581 0.708
O8 O 0.318 0.705 0.103
O9 O 0.346 0.161 0.586
O10 O 0.353 0.520 0.140
O11 O 0.369 0.113 0.795
O12 O 0.479 0.135 0.157
```

Values from the calculation:
ΔE_f (raw) = -2.437 eV per atom



Here is Sr2ZnPt after structural relaxation from Alexandria via LeMat-Bulk. Energies are from PBE-GGA.

```
data_Sr2ZnPt
_chemical_formula_sum 'Sr4 Zn2 Pt2'
_cell_length_a 4.440
_cell_length_b 4.508
_cell_length_c 11.588
_cell_angle_alpha 90.00
_cell_angle_beta 90.00
_cell_angle_gamma 90.00
_space_group_name_H-M_alt 'A m m 2'
_space_group_IT_number 38
loop_
_space_group_symop_operation_xyz
'x,y,z'
'-x,-y,z'
'-x,y,z'
'x,-y,z'
'x,y+1/2,z+1/2'
'-x,-y+1/2,z+1/2'
'-x,y+1/2,z+1/2'
'x,-y+1/2,z+1/2'
loop_
_atom_site_label
_atom_site_type_symbol
_atom_site_fract_x
_atom_site_fract_y
_atom_site_fract_z
Sr1 Sr 0.000 0.000 0.000
Sr2 Sr 0.500 0.000 0.282
Zn1 Zn 0.000 0.000 0.697
Pt1 Pt 0.500 0.000 0.580
```

Values from the calculation:
formation energy = -13.83 kcal/mol of atoms



Here is MnCuI4 after structural relaxation from Alexandria via LeMat-Bulk. Energies are from PBE-GGA.

```
data_MnCuI4
_chemical_formula_sum 'Mn2 Cu2 I8'
_cell_length_a 7.725
_cell_length_b 7.725
_cell_length_c 9.874
_cell_angle_alpha 90.00
_cell_angle_beta 90.00
_cell_angle_gamma 90.00
_space_group_name_H-M_alt 'P 42/m m c'
_space_group_IT_number 131
_space_group_name_Hall '-P 4c 2'
loop_
_atom_site_label
_atom_site_type_symbol
_atom_site_fract_x
_atom_site_fract_y
_atom_site_fract_z
Mn1 Mn 0.000 0.500 0.000
Cu1 Cu 0.000 0.000 0.000
I1 I 0.241 0.247 0.000
```

Values from the calculation:
ΔE_f (raw) = -0.174 eV per atom



Here is DyHo4Se6 after structural relaxation from Alexandria via LeMat-Bulk. Energies are from PBE-GGA.

```
data_DyHo4Se6
_chemical_formula_sum 'Dy4 Ho16 Se24'
_cell_length_a 3.971
_cell_length_b 13.325
_cell_length_c 20.668
_cell_angle_alpha 90.00
_cell_angle_beta 90.00
_cell_angle_gamma 90.00
_space_group_name_H-M_alt 'C m c m'
_space_group_IT_number 63
_space_group_name_Hall '-C 2c 2'
loop_
_atom_site_label
_atom_site_type_symbol
_atom_site_fract_x
_atom_site_fract_y
_atom_site_fract_z
Dy1 Dy 0.000 0.152 0.250
Ho1 Ho 0.000 0.089 0.627
Ho2 Ho 0.000 0.359 0.538
Se1 Se 0.000 0.000 0.000
Se2 Se 0.000 0.190 0.750
Se3 Se 0.000 0.269 0.091
Se4 Se 0.000 0.447 0.666
```

Values from the calculation:
ΔE_f (raw) = -1.804 eV per atom



Here is LiTc after structural relaxation from Alexandria via LeMat-Bulk. Energies are from PBE-GGA.

```
data_LiTc
_chemical_formula_sum 'Li8 Tc8'
_cell_length_a 10.283
_cell_length_b 10.283
_cell_length_c 2.962
_cell_angle_alpha 90.00
_cell_angle_beta 90.00
_cell_angle_gamma 90.00
_space_group_name_H-M_alt 'I 4/m'
_space_group_IT_number 87
_space_group_name_Hall '-I 4'
loop_
_atom_site_label
_atom_site_type_symbol
_atom_site_fract_x
_atom_site_fract_y
_atom_site_fract_z
Li1 Li 0.041 0.828 0.000
Tc1 Tc 0.179 0.299 0.000
```

Values from the calculation:
formation energy = 21.65 kcal/mol of atoms



Here is Ho6AlCo after structural relaxation from Alexandria via LeMat-Bulk. Energies are from PBE-GGA.

```
data_Ho6AlCo
_chemical_formula_sum 'Ho12 Al2 Co2'
_cell_length_a 6.937
_cell_length_b 11.123
_cell_length_c 6.398
_cell_angle_alpha 90.00
_cell_angle_beta 112.86
_cell_angle_gamma 90.00
_space_group_name_H-M_alt 'C 1 2/m 1'
_space_group_IT_number 12
loop_
_space_group_symop_operation_xyz
'x,y,z'
'-x,-y,-z'
'-x,y,-z'
'x,-y,z'
'x+1/2,y+1/2,z'
'-x+1/2,-y+1/2,-z'
'-x+1/2,y+1/2,-z'
'x+1/2,-y+1/2,z'
loop_
_atom_site_label
_atom_site_type_symbol
_atom_site_fract_x
_atom_site_fract_y
_atom_site_fract_z
Ho1 Ho 0.205 0.191 0.245
Ho2 Ho 0.232 0.000 0.779
Al1 Al 0.000 0.500 0.500
Co1 Co 0.000 0.000 0.000
```

Values from the calculation:
formation energy = 0.89 kcal/mol of atoms



Here is CuIrRh4 after structural relaxation from Alexandria via LeMat-Bulk. Energies are from PBE-GGA.

```
data_CuIrRh4
_chemical_formula_sum 'Cu2 Ir2 Rh8'
_cell_length_a 8.975
_cell_length_b 2.712
_cell_length_c 7.635
_cell_angle_alpha 90.00
_cell_angle_beta 115.16
_cell_angle_gamma 90.00
_space_group_name_H-M_alt 'C 1 2/m 1'
_space_group_IT_number 12
loop_
_space_group_symop_operation_xyz
'x,y,z'
'-x,-y,-z'
'-x,y,-z'
'x,-y,z'
'x+1/2,y+1/2,z'
'-x+1/2,-y+1/2,-z'
'-x+1/2,y+1/2,-z'
'x+1/2,-y+1/2,z'
loop_
_atom_site_label
_atom_site_type_symbol
_atom_site_fract_x
_atom_site_fract_y
_atom_site_fract_z
Cu1 Cu 0.000 0.000 0.000
Ir1 Ir 0.000 0.000 0.500
Rh1 Rh 0.165 0.500 0.332
Rh2 Rh 0.167 0.500 0.836
```

Values from the calculation:
formation energy = 0.83 kcal/mol of atoms



Here is Dy3Te2Ru after structural relaxation from Alexandria via LeMat-Bulk. Energies are from PBE-GGA.

```
data_Dy3Te2Ru
_chemical_formula_sum 'Dy6 Te4 Ru2'
_cell_length_a 4.124
_cell_length_b 5.989
_cell_length_c 13.424
_cell_angle_alpha 90.00
_cell_angle_beta 90.00
_cell_angle_gamma 90.00
_space_group_name_H-M_alt 'I m m m'
_space_group_IT_number 71
_space_group_name_Hall '-I 2 2'
loop_
_atom_site_label
_atom_site_type_symbol
_atom_site_fract_x
_atom_site_fract_y
_atom_site_fract_z
Dy1 Dy 0.000 0.000 0.000
Dy2 Dy 0.000 0.000 0.365
Te1 Te 0.000 0.500 0.321
Ru1 Ru 0.000 0.500 0.000
```

Values from the calculation:
ΔE_f (raw) = -0.903 eV per atom